DFT (PBE) results for a relaxed PaPt3Rh crystal.

Lattice parameters (Å, degrees): 4.3873 7.0838 5.8730 90.00 90.00 90.00
With the nearest neighbours (Å) after each atom.
Positions (direct):
1 Pt 0.5000 0.5000 0.0280  1 Rh 2.66, 6 Pt 2.73-2.86, 2 Pa 2.81
2 Pt 0.0000 0.0000 0.9720  1 Rh 2.66, 6 Pt 2.73-2.86, 2 Pa 2.81
3 Pt 0.5000 0.1876 0.7555  4 Pt 2.66-2.86, 3 Rh 2.74-2.92
4 Pt 0.0000 0.3124 0.2445  4 Pt 2.66-2.86, 3 Rh 2.74-2.92
5 Pt 0.5000 0.8124 0.7555  4 Pt 2.66-2.86, 3 Rh 2.74-2.92
6 Pt 0.0000 0.6876 0.2445  4 Pt 2.66-2.86, 3 Rh 2.74-2.92
7 Pa 0.5000 0.0000 0.2720  2 Rh 2.63, 2 Pt 2.81
8 Pa 0.0000 0.5000 0.7280  2 Rh 2.63, 2 Pt 2.81
9 Rh 0.0000 0.0000 0.5183  2 Pa 2.63, 7 Pt 2.66-2.92
10 Rh 0.5000 0.5000 0.4817  2 Pa 2.63, 7 Pt 2.66-2.92

Volume, A^3/atom: 18.25
Formation energy from the elements, eV/atom: -0.651
VASP energy, eV/atom: -7.645

=====

DFT (PBE) results for a relaxed SrPbS2 crystal.

Lattice parameters (Å, degrees): 8.6913 8.6913 8.6913 29.86 29.86 29.86
With the nearest neighbours (Å) after each atom.
Positions (direct):
1 S 0.1064 0.1064 0.1064  1 Pb 2.65
2 S 0.8936 0.8936 0.8936  1 Pb 2.65
3 Pb 0.0000 0.0000 0.0000  2 S 2.65
4 Sr 0.5000 0.5000 0.5000  6 S 2.99

Volume, A^3/atom: 36.03
Formation energy from raw total energies, eV/atom: -0.827
VASP energy, eV/atom: -4.238

=====

DFT (PBE) results for a relaxed Tb4Pr4Er5 crystal.

Lattice parameters (Å, degrees): 5.0601 9.5015 9.5014 85.94 74.56 74.56
With the nearest neighbours (Å) after each atom.
Positions (direct):
1 Er 0.5389 0.7728 0.1495  4 Er 3.52-3.55, 5 Tb 3.56-3.65, 3 Pr 3.60-3.63
2 Er 0.0000 0.0000 0.0000  8 Er 3.55, 4 Tb 3.56
3 Er 0.3116 0.1495 0.2272  4 Er 3.52-3.55, 5 Tb 3.56-3.65, 3 Pr 3.60-3.63
4 Er 0.4611 0.2272 0.8505  4 Er 3.52-3.55, 5 Tb 3.56-3.65, 3 Pr 3.60-3.63
5 Er 0.6884 0.8505 0.7728  4 Er 3.52-3.55, 5 Tb 3.56-3.65, 3 Pr 3.60-3.63
6 Tb 0.8473 0.9243 0.3810  4 Pr 3.54-3.60, 6 Er 3.56-3.65, 2 Tb 3.62
7 Tb 0.7716 0.3810 0.0757  4 Pr 3.54-3.60, 6 Er 3.56-3.65, 2 Tb 3.62
8 Tb 0.2284 0.6190 0.9243  4 Pr 3.54-3.60, 6 Er 3.56-3.65, 2 Tb 3.62
9 Tb 0.1527 0.0757 0.6190  4 Pr 3.54-3.60, 6 Er 3.56-3.65, 2 Tb 3.62
10 Pr 0.6182 0.3027 0.4609  4 Tb 3.54-3.60, 3 Er 3.60-3.63, 5 Pr 3.63-3.68
11 Pr 0.0791 0.5391 0.3027  4 Tb 3.54-3.60, 3 Er 3.60-3.63, 5 Pr 3.63-3.68
12 Pr 0.3818 0.6973 0.5391  4 Tb 3.54-3.60, 3 Er 3.60-3.63, 5 Pr 3.63-3.68
13 Pr 0.9209 0.4609 0.6973  4 Tb 3.54-3.60, 3 Er 3.60-3.63, 5 Pr 3.63-3.68

Volume, A^3/atom: 32.65
Formation energy from the elements, eV/atom: 0.022
VASP energy, eV/atom: -4.628

=====

DFT (PBE) results for a relaxed Li3Ac2AlCu12 crystal.

Lattice parameters (Å, degrees): 7.9018 7.9018 7.9018 63.47 63.47 63.47
With the nearest neighbours (Å) after each atom.
Positions (direct):
1 Cu 0.6404 0.9537 0.6404  4 Cu 2.39-2.60, 2 Li 2.68
2 Cu 0.9537 0.6404 0.6404  4 Cu 2.39-2.60, 2 Li 2.68
3 Cu 0.1320 0.6557 0.1320  1 Al 2.34, 4 Cu 2.39-2.50
4 Cu 0.8680 0.8680 0.3443  1 Al 2.34, 4 Cu 2.39-2.50
5 Cu 0.8680 0.3443 0.8680  1 Al 2.34, 4 Cu 2.39-2.50
6 Cu 0.1320 0.1320 0.6557  1 Al 2.34, 4 Cu 2.39-2.50
7 Cu 0.3596 0.0463 0.3596  4 Cu 2.39-2.60, 2 Li 2.68
8 Cu 0.6404 0.6404 0.9537  4 Cu 2.39-2.60, 2 Li 2.68
9 Cu 0.3596 0.3596 0.0463  4 Cu 2.39-2.60, 2 Li 2.68
10 Cu 0.0463 0.3596 0.3596  4 Cu 2.39-2.60, 2 Li 2.68
11 Cu 0.6557 0.1320 0.1320  1 Al 2.34, 4 Cu 2.39-2.50
12 Cu 0.3443 0.8680 0.8680  1 Al 2.34, 4 Cu 2.39-2.50
13 Al 0.0000 0.0000 0.0000  6 Cu 2.34
14 Ac 0.3976 0.3976 0.3976  9 Cu 3.04-3.31
15 Ac 0.6024 0.6024 0.6024  9 Cu 3.04-3.31
16 Li 0.0000 0.0000 0.5000  6 Cu 2.64-2.68
17 Li 0.5000 0.0000 0.0000  6 Cu 2.64-2.68
18 Li 0.0000 0.5000 0.0000  6 Cu 2.64-2.68

Volume, A^3/atom: 20.87
Formation energy from the elements, eV/atom: 0.218
VASP energy, eV/atom: -3.496

=====

DFT (PBE) results for a relaxed La2Ga3CuNi12 crystal.

Lattice parameters (Å, degrees): 9.1620 9.1620 9.1620 39.09 39.09 39.09
With the nearest neighbours (Å) after each atom.
Positions (direct):
1 Ni 0.5796 0.1902 0.5796  2 Ga 2.37, 4 Ni 2.39-2.40
2 Ni 0.8098 0.4204 0.4204  2 Ga 2.37, 4 Ni 2.39-2.40
3 Ni 0.4204 0.8098 0.4204  2 Ga 2.37, 4 Ni 2.39-2.40
4 Ni 0.1902 0.5796 0.5796  2 Ga 2.37, 4 Ni 2.39-2.40
5 Ni 0.9364 0.3444 0.9364  1 Cu 2.34, 4 Ni 2.40-2.50, 1 Ga 2.41
6 Ni 0.0636 0.6556 0.0636  1 Cu 2.34, 4 Ni 2.40-2.50, 1 Ga 2.41
7 Ni 0.9364 0.9364 0.3444  1 Cu 2.34, 4 Ni 2.40-2.50, 1 Ga 2.41
8 Ni 0.4204 0.4204 0.8098  2 Ga 2.37, 4 Ni 2.39-2.40
9 Ni 0.6556 0.0636 0.0636  1 Cu 2.34, 4 Ni 2.40-2.50, 1 Ga 2.41
10 Ni 0.3444 0.9364 0.9364  1 Cu 2.34, 4 Ni 2.40-2.50, 1 Ga 2.41
11 Ni 0.0636 0.0636 0.6556  1 Cu 2.34, 4 Ni 2.40-2.50, 1 Ga 2.41
12 Ni 0.5796 0.5796 0.1902  2 Ga 2.37, 4 Ni 2.39-2.40
13 La 0.3396 0.3396 0.3396  6 Ni 2.89-3.12
14 La 0.6604 0.6604 0.6604  6 Ni 2.89-3.12
15 Cu 0.0000 0.0000 0.0000  6 Ni 2.34
16 Ga 0.5000 0.0000 0.0000  6 Ni 2.37-2.41
17 Ga 0.0000 0.0000 0.5000  6 Ni 2.37-2.41
18 Ga 0.0000 0.5000 0.0000  6 Ni 2.37-2.41

Volume, A^3/atom: 15.28
Formation energy from the elements, eV/atom: 0.008
VASP energy, eV/atom: -5.126

=====

DFT (PBE) results for a relaxed NpTlAs2 crystal.

Lattice parameters (Å, degrees): 3.8221 4.7855 4.7855 90.00 90.00 90.00
With the nearest neighbours (Å) after each atom.
Positions (direct):
1 Tl 0.5000 0.5000 0.5000  8 As 3.06, 4 Np 3.38
2 Np 0.5000 0.0000 0.0000  8 As 3.06, 4 Tl 3.38
3 As 0.0000 0.0000 0.5000  4 Tl 3.06, 4 Np 3.06, 4 As 3.38
4 As 0.0000 0.5000 0.0000  4 Tl 3.06, 4 Np 3.06, 4 As 3.38

Volume, A^3/atom: 21.88
Formation energy from the elements, eV/atom: -0.216
VASP energy, eV/atom: -6.367
Relative energy among the computed polymorphs, meV/atom: 68.1